Compound: HfFeO3
Source: Alexandria via LeMat-Bulk
Functional: PBE+U
Structure: optimized geometry

Cell: 3.668 3.668 3.668 Å, 90.00 90.00 90.00°
Sites, in units of the cell vectors:
Hf 0.000 0.000 0.000
Fe 0.500 0.500 0.500
O 0.000 0.500 0.500
O 0.500 0.000 0.500
O 0.500 0.500 0.000

- E (eV/atom) = -7.18
- density of states at the Fermi level (states/eV per cell) = 4.171
- space group = No. 221